[1]
First-principles (GGA-PBE) data for CaNiPt after structural relaxation, as listed in the Alexandria database.

crystal system = orthorhombic
uncorrected energy = -58.152 eV for the cell shown
calculated volume = 18.8 Å³ per atom

Unit cell a=9.6805 b=7.3592 c=7.1484 alpha=83.70 beta=49.08 gamma=47.22
Last column: nearest neighbours and their distance in Å.
Fractional positions:
Ca1 0.0020 0.7584 0.2416  4 Ni 2.75-2.77, 4 Pt 2.92-3.03
Ca2 0.2416 0.9980 0.0020  4 Ni 2.75-2.77, 4 Pt 2.92-3.03
Ca3 0.7584 0.0020 0.9980  4 Ni 2.75-2.77, 4 Pt 2.92-3.03
Ca4 0.9980 0.2416 0.7584  4 Ni 2.75-2.77, 4 Pt 2.92-3.03
Ni1 0.1212 0.4955 0.5045  1 Ni 2.35
Ni2 0.4955 0.1212 0.8788  1 Ni 2.35
Ni3 0.5045 0.8788 0.1212  1 Ni 2.35
Ni4 0.8788 0.5045 0.4955  1 Ni 2.35
Pt1 0.3194 0.6806 0.3194  2 Ni 2.67, 2 Pt 2.79
Pt2 0.4010 0.4010 0.5990  3 Pt 2.76-2.79, 2 Ni 2.83, 4 Ca 2.92
Pt3 0.5990 0.5990 0.4010  3 Pt 2.76-2.79, 2 Ni 2.83, 4 Ca 2.92
Pt4 0.6806 0.3194 0.6806  2 Ni 2.67, 2 Pt 2.79

=====

[2]
First-principles (GGA-PBE) data for CaNiPt after structural relaxation, as listed in the Alexandria database.

crystal system = cubic
uncorrected energy = -12.687 eV for the cell shown
calculated volume = 21.1 Å³ per atom

Unit cell a=4.4726 b=4.4726 c=4.4726 alpha=60.00 beta=60.00 gamma=60.00
Last column: nearest neighbours and their distance in Å.
Fractional positions:
Ca1 0.0000 0.0000 0.0000  4 Ni 2.74, 4 Pt 2.74
Ni1 0.7500 0.7500 0.7500  4 Ca 2.74
Pt1 0.2500 0.2500 0.2500  4 Ca 2.74

=====

[3]
First-principles (GGA-PBE) data for CaNi2Pt2 after structural relaxation, as listed in the Alexandria database.

crystal system = tetragonal
uncorrected energy = -26.912 eV for the cell shown
calculated volume = 17.5 Å³ per atom
E above lowest polymorph = 62 meV per atom

Unit cell a=6.3492 b=6.3492 c=6.3492 alpha=144.10 beta=144.10 gamma=51.69
Last column: nearest neighbours and their distance in Å.
Fractional positions:
Ca1 0.0000 0.0000 0.0000  8 Pt 3.05
Ni1 0.2500 0.7500 0.5000  4 Pt 2.52, 4 Ni 2.77
Ni2 0.7500 0.2500 0.5000  4 Pt 2.52, 4 Ni 2.77
Pt1 0.3884 0.3884 0.0000  4 Ni 2.52, 1 Pt 2.55
Pt2 0.6116 0.6116 0.0000  4 Ni 2.52, 1 Pt 2.55

=====

Question: calculated volume of number 1 (CaNiPt)?
Answer: 18.8 Å³ per atom

=====

Question: Look up the calculated volume of the third one.
Answer: 17.5 Å³ per atom

=====

Question: Which value of calculated volume does entry 3 give?
Answer: 17.5 Å³ per atom